Record 1
Computed, not measured: a geometry-optimized PaTaRu4 structure at the PBE level of DFT.

Unit cell a=5.1162 b=5.1162 c=7.0344 alpha=112.30 beta=112.30 gamma=36.47
With the nearest neighbours (Å) after each atom.
Element x y z (fractional)
Pa: 0.0000 0.0000 0.0000  10 Ru 2.78-3.04
Ta: 0.0000 0.0000 0.5000  8 Ru 2.66-2.69
Ru: 0.3222 0.3222 0.1926  2 Ta 2.69, 5 Ru 2.84-2.97, 1 Pa 2.87
Ru: 0.3521 0.3521 0.6547  2 Ta 2.66, 2 Pa 2.78, 5 Ru 2.79-2.91
Ru: 0.6479 0.6479 0.3453  2 Ta 2.66, 2 Pa 2.78, 5 Ru 2.79-2.91
Ru: 0.6778 0.6778 0.8074  2 Ta 2.69, 5 Ru 2.84-2.97, 1 Pa 2.87

The total energy comes out at -9.840 eV per atom. The calculation puts the total magnetization at 0.00 μB per cell. As for the crystal system: monoclinic. The calculation puts the energy of formation from the pure elements at -98 meV/atom. For the density, the calculation gives 13510 kg/m3.


Record 2
Computed, not measured: a geometry-optimized Pa2TaRu structure at the PBE level of DFT.

Unit cell a=10.5283 b=10.5283 c=10.5283 alpha=16.61 beta=16.61 gamma=16.61
With the nearest neighbours (Å) after each atom.
Element x y z (fractional)
Pa: 0.0918 0.0918 0.0918  1 Ta 2.86, 3 Ru 2.92, 6 Pa 3.04
Pa: 0.9082 0.9082 0.9082  1 Ta 2.86, 3 Ru 2.92, 6 Pa 3.04
Ta: 0.0000 0.0000 0.0000  2 Pa 2.86, 6 Ta 3.04
Ru: 0.5000 0.5000 0.5000  6 Pa 2.92, 6 Ru 3.04

The total energy comes out at -9.744 eV per atom. The calculation puts the total magnetization at 0.00 μB per cell. As for the crystal system: trigonal. The calculation puts the energy of formation from the pure elements at 286 meV/atom. For the density, the calculation gives 14850 kg/m3.


Record 3
Computed, not measured: a geometry-optimized PaTa2Ru structure at the PBE level of DFT.

Unit cell a=10.1407 b=10.1407 c=10.1407 alpha=16.80 beta=16.80 gamma=16.80
With the nearest neighbours (Å) after each atom.
Element x y z (fractional)
Pa: 0.0000 0.0000 0.0000  2 Ta 2.85, 6 Pa 2.96
Ta: 0.0950 0.0950 0.0950  3 Ru 2.75, 1 Pa 2.85, 6 Ta 2.96
Ta: 0.9050 0.9050 0.9050  3 Ru 2.75, 1 Pa 2.85, 6 Ta 2.96
Ru: 0.5000 0.5000 0.5000  6 Ta 2.75, 6 Ru 2.96

The total energy comes out at -10.277 eV per atom. The calculation puts the total magnetization at 0.00 μB per cell. As for the crystal system: trigonal. The calculation puts the energy of formation from the pure elements at 342 meV/atom. For the density, the calculation gives 15164 kg/m3.


Record 4
Computed, not measured: a geometry-optimized PaTaRu2 structure at the PBE level of DFT.

Unit cell a=5.3804 b=5.3804 c=5.3804 alpha=47.13 beta=47.13 gamma=47.13
With the nearest neighbours (Å) after each atom.
Element x y z (fractional)
Pa: 0.0000 0.0000 0.0000  8 Ru 2.92-3.23
Ta: 0.5000 0.5000 0.5000  6 Ru 2.62
Ru: 0.2257 0.2257 0.2257  3 Ta 2.62, 3 Pa 2.92
Ru: 0.7743 0.7743 0.7743  3 Ta 2.62, 3 Pa 2.92

The total energy comes out at -10.218 eV per atom. The calculation puts the total magnetization at 0.00 μB per cell. As for the crystal system: trigonal. The calculation puts the energy of formation from the pure elements at -243 meV/atom. For the density, the calculation gives 13333 kg/m3.


- What is the energy of formation from the pure elements in the first record?
  -98 meV/atom